A geometry-optimized Li2LuGe structure. Source: the Open Quantum Materials Database, functional PBE.

abc: 4.696 4.696 4.696
angles: 60.00 60.00 60.00
Fractional coordinates of all 4 atoms:
Li 0.000 0.000 0.000
Li 0.250 0.250 0.250
Lu 0.750 0.750 0.750
Ge 0.500 0.500 0.500

DFT total energy ... -3.60 eV/atom
Total magnetic moment ... 0.0 μB per cell